No. 1
VASP calculation (PBE-GGA) on an optimized crystal structure of MoPbS2.

Summary:
spin magnetization = 0.00 μB per atom
E_form (uncorrected) = -0.10 eV per atom

Cell lengths 6.220, 6.220, 10.763 Å; angles 90.00, 90.00, 90.00 degrees
Space group I-42d (No. 122)
Inequivalent atoms, fractional coordinates:
Mo: 0.000 0.000 0.000 x4
Pb: 0.000 0.000 0.500 x4
S: 0.164 0.250 0.125 x8

No. 2
VASP calculation (PBE-GGA) on an optimized crystal structure of MoPbS2.

Summary:
spin magnetization = 0.00 μB per atom
E_form (uncorrected) = -0.44 eV per atom

Cell lengths 3.3142, 3.3142, 27.1243 Å; angles 90.00, 90.00, 120.00 degrees
Space group R-3m (No. 166, hexagonal axes)
Inequivalent atoms, fractional coordinates:
Mo: 0.0000 0.0000 0.0000 x3
Pb: 0.0000 0.0000 0.5000 x3
S: 0.0000 0.0000 0.3899 x6

No. 3
VASP calculation (PBE-GGA) on an optimized crystal structure of SbMoPb4.

Summary:
spin magnetization = 0.56 μB per atom
E_form (uncorrected) = 0.84 eV per atom

Cell lengths 9.002, 9.002, 9.002 Å; angles 90.00, 90.00, 90.00 degrees
Space group F-43m (No. 216)
Inequivalent atoms, fractional coordinates:
Sb: 0.000 0.000 0.000 x4
Mo: 0.250 0.250 0.750 x4
Pb: 0.125 0.125 0.375 x16

No. 4
VASP calculation (PBE-GGA) on an optimized crystal structure of SbMo2Pb.

Summary:
spin magnetization = 0.00 μB per atom
ΔE to the lowest computed polymorph = 0.456 eV/atom
E_form (uncorrected) = 0.65 eV per atom

Cell lengths 3.326, 4.442, 5.925 Å; angles 90.00, 93.61, 90.00 degrees
Space group P2/m (No. 10)
Inequivalent atoms, fractional coordinates:
Sb: 0.000 0.000 0.000 x1
Mo: 0.325 0.500 0.817 x2
Pb: 0.500 0.000 0.500 x1

No. 5
VASP calculation (PBE-GGA) on an optimized crystal structure of SbMo2Pb.

Summary:
spin magnetization = 0.27 μB per atom
ΔE to the lowest computed polymorph = 0.397 eV/atom
E_form (uncorrected) = 0.59 eV per atom

Cell lengths 6.731, 6.731, 6.731 Å; angles 90.00, 90.00, 90.00 degrees
Space group Fm-3m (No. 225)
Inequivalent atoms, fractional coordinates:
Sb: 0.000 0.000 0.000 x4
Mo: 0.250 0.250 0.250 x8
Pb: 0.000 0.000 0.500 x4

No. 6
VASP calculation (PBE-GGA) on an optimized crystal structure of SbMo2Pb.

Summary:
spin magnetization = 0.00 μB per atom
ΔE to the lowest computed polymorph = 0.584 eV/atom
E_form (uncorrected) = 0.78 eV per atom

Cell lengths 6.408, 8.860, 3.122 Å; angles 90.00, 115.15, 90.00 degrees
Space group C2/m (No. 12)
Inequivalent atoms, fractional coordinates:
Sb: 0.000 0.000 0.000 x2
Mo: 0.250 0.250 0.500 x4
Pb: 0.000 0.500 0.000 x2